Record 1
Material: PrZrTe
Method: DFT, PBE
State: relaxed

Cell: 4.3390 4.3390 8.6109 Å, 90.00 90.00 90.00°
Closest atoms and distances in Å follow each position.
Positions (direct):
Pr: 0.2500 0.2500 0.1401  5 Te 3.22-3.38
Pr: 0.7500 0.7500 0.8599  5 Te 3.22-3.38
Zr: 0.2500 0.7500 0.5000  4 Te 3.05, 4 Zr 3.07
Zr: 0.7500 0.2500 0.5000  4 Te 3.05, 4 Zr 3.07
Te: 0.2500 0.2500 0.7482  4 Zr 3.05, 5 Pr 3.22-3.38
Te: 0.7500 0.7500 0.2518  4 Zr 3.05, 5 Pr 3.22-3.38

Computed properties:
**Magnetization**: 0.00 μB/cell
**N(E_F)**: 2.52 states/eV/f.u.
**ΔE_f (raw)**: -84 kJ/mol of atoms
**Symmetry**: P4/nmm
**V**: 27.0 Å³ per atom

***

Record 2
Material: PrZrTe3
Method: DFT, PBE
State: relaxed

Cell: 8.2535 8.2535 9.4068 Å, 90.13 90.13 29.17°
Closest atoms and distances in Å follow each position.
Positions (direct):
Pr: 0.1043 0.1043 0.0948  8 Te 3.22-3.38
Pr: 0.8957 0.8957 0.9052  8 Te 3.22-3.38
Zr: 0.3000 0.3000 0.3689  6 Te 2.92-3.04
Zr: 0.7000 0.7000 0.6311  6 Te 2.92-3.04
Te: 0.1239 0.1239 0.4525  3 Zr 2.92-2.93
Te: 0.2468 0.2468 0.8407  2 Zr 2.96, 3 Pr 3.22-3.30
Te: 0.4506 0.4506 0.1718  1 Zr 3.04, 4 Pr 3.30-3.37
Te: 0.5494 0.5494 0.8282  1 Zr 3.04, 4 Pr 3.30-3.37
Te: 0.7532 0.7532 0.1593  2 Zr 2.96, 3 Pr 3.22-3.30
Te: 0.8761 0.8761 0.5475  3 Zr 2.92-2.93

Computed properties:
**Magnetization**: 1.22 μB/cell
**N(E_F)**: 2.53 states/eV/f.u.
**ΔE_f (raw)**: -113 kJ/mol of atoms
**Symmetry**: C2/m
**V**: 31.2 Å³ per atom

***

Record 3
Material: PrZr3Te6
Method: DFT, PBE
State: relaxed

Cell: 12.0042 4.0856 12.5506 Å, 90.00 108.93 90.00°
Closest atoms and distances in Å follow each position.
Positions (direct):
Pr: 0.0520 0.2500 0.2024  8 Te 3.18-3.38
Pr: 0.9480 0.7500 0.7976  8 Te 3.18-3.38
Zr: 0.1201 0.2500 0.5721  6 Te 2.88-3.07
Zr: 0.3214 0.7500 0.9877  7 Te 2.91-3.12
Zr: 0.4451 0.2500 0.3680  5 Te 2.89-3.01
Zr: 0.5549 0.7500 0.6320  5 Te 2.89-3.01
Zr: 0.6786 0.2500 0.0123  7 Te 2.91-3.12
Zr: 0.8799 0.7500 0.4279  6 Te 2.88-3.07
Te: 0.1127 0.7500 0.4077  3 Zr 2.88-2.89, 2 Pr 3.18
Te: 0.1301 0.2500 0.9727  2 Zr 3.03, 3 Pr 3.27-3.31
Te: 0.1956 0.7500 0.7462  3 Zr 2.91, 1 Pr 3.24
Te: 0.2816 0.7500 0.2212  3 Zr 3.01-3.12
Te: 0.3755 0.2500 0.5716  4 Zr 2.89-3.07
Te: 0.4860 0.2500 0.1234  4 Zr 2.97-3.26
Te: 0.5140 0.7500 0.8766  4 Zr 2.97-3.26
Te: 0.6245 0.7500 0.4284  4 Zr 2.89-3.07
Te: 0.7184 0.2500 0.7788  3 Zr 3.01-3.12
Te: 0.8044 0.2500 0.2538  3 Zr 2.91, 1 Pr 3.24
Te: 0.8699 0.7500 0.0273  2 Zr 3.03, 3 Pr 3.27-3.31
Te: 0.8873 0.2500 0.5923  3 Zr 2.88-2.89, 2 Pr 3.18

Computed properties:
**Magnetization**: 0.02 μB/cell
**N(E_F)**: 7.98 states/eV/f.u.
**ΔE_f (raw)**: -92 kJ/mol of atoms
**Symmetry**: P2_1/m
**V**: 29.1 Å³ per atom

***

Record 4
Material: Pr7Th2
Method: DFT, PBE
State: relaxed

Cell: 6.3608 6.3608 9.0598 Å, 90.00 90.00 120.00°
Closest atoms and distances in Å follow each position.
Positions (direct):
Pr: 0.0000 0.0000 0.0000  6 Pr 3.64, 6 Th 3.67
Pr: 0.0000 0.3399 0.6771  2 Th 3.60, 10 Pr 3.64-3.87
Pr: 0.0000 0.6601 0.3229  2 Th 3.60, 10 Pr 3.64-3.87
Pr: 0.3399 0.0000 0.6771  2 Th 3.60, 10 Pr 3.64-3.87
Pr: 0.3399 0.3399 0.3229  2 Th 3.60, 10 Pr 3.64-3.87
Pr: 0.6601 0.0000 0.3229  2 Th 3.60, 10 Pr 3.64-3.87
Pr: 0.6601 0.6601 0.6771  2 Th 3.60, 10 Pr 3.64-3.87
Th: 0.3333 0.6667 0.0000  9 Pr 3.60-3.67, 3 Th 3.67
Th: 0.6667 0.3333 0.0000  9 Pr 3.60-3.67, 3 Th 3.67

Computed properties:
**Magnetization**: 0.00 μB/cell
**Calculated formation energy**: 0.39 eV per formula unit
**N(E_F)**: 15.04 states/eV/f.u.
**Symmetry**: P-31m
**V**: 35.3 Å³ per atom

***

Record 5
Material: PrTh5
Method: DFT, PBE
State: relaxed

Cell: 9.5436 9.5436 3.5802 Å, 90.00 90.00 142.94°
Closest atoms and distances in Å follow each position.
Positions (direct):
Pr: 0.0000 0.0000 0.0000  8 Th 3.52-3.56, 2 Pr 3.58
Th: 0.1699 0.8301 0.5000  8 Th 3.45-3.58, 2 Pr 3.56
Th: 0.3329 0.6671 0.0000  10 Th 3.45-3.58
Th: 0.5000 0.5000 0.5000  6 Th 3.51-3.58, 4 Pr 3.52
Th: 0.6671 0.3329 0.0000  10 Th 3.45-3.58
Th: 0.8301 0.1699 0.5000  8 Th 3.45-3.58, 2 Pr 3.56

Computed properties:
**Magnetization**: 0.00 μB/cell
**Calculated formation energy**: 0.76 eV per formula unit
**N(E_F)**: 11.17 states/eV/f.u.
**Symmetry**: Cmmm
**ΔE to the lowest computed polymorph**: 91 meV per atom
**V**: 32.8 Å³ per atom

***

Record 6
Material: PrTh3
Method: DFT, PBE
State: relaxed

Cell: 3.5750 5.9797 6.2268 Å, 90.00 90.00 90.00°
Closest atoms and distances in Å follow each position.
Positions (direct):
Pr: 0.0000 0.0000 0.0000  2 Pr 3.57, 10 Th 3.58-3.66
Th: 0.0000 0.5000 0.6731  10 Th 3.56-3.64, 2 Pr 3.62
Th: 0.5000 0.0000 0.5022  8 Th 3.57-3.64, 4 Pr 3.58-3.60
Th: 0.5000 0.5000 0.1785  8 Th 3.56-3.62, 4 Pr 3.66

Computed properties:
**Magnetization**: 0.00 μB/cell
**Calculated formation energy**: 0.29 eV per formula unit
**N(E_F)**: 4.06 states/eV/f.u.
**Symmetry**: Pmm2
**ΔE to the lowest computed polymorph**: 0 meV per atom
**V**: 33.3 Å³ per atom

***

Record 7
Material: Pr8Th
Method: DFT, PBE
State: relaxed

Cell: 9.4495 9.4495 9.4495 Å, 92.23 92.23 157.25°
Closest atoms and distances in Å follow each position.
Positions (direct):
Pr: 0.0000 0.3326 0.3326  10 Pr 3.60-3.73
Pr: 0.0000 0.6674 0.6674  10 Pr 3.60-3.73
Pr: 0.3326 0.0000 0.3326  10 Pr 3.60-3.73
Pr: 0.3363 0.3363 0.6727  2 Th 3.56, 8 Pr 3.60-3.73
Pr: 0.3363 0.6637 0.0000  2 Th 3.56, 8 Pr 3.60-3.73
Pr: 0.6637 0.3363 0.0000  2 Th 3.56, 8 Pr 3.60-3.73
Pr: 0.6637 0.6637 0.3273  2 Th 3.56, 8 Pr 3.60-3.73
Pr: 0.6674 0.0000 0.6674  10 Pr 3.60-3.73
Th: 0.0000 0.0000 0.0000  8 Pr 3.56, 2 Th 3.73

Computed properties:
**Magnetization**: 0.00 μB/cell
**Calculated formation energy**: 1.02 eV per formula unit
**N(E_F)**: 19.22 states/eV/f.u.
**Symmetry**: I4/mmm
**ΔE to the lowest computed polymorph**: 81 meV per atom
**V**: 35.5 Å³ per atom

***

Record 8
Material: Pr3Th
Method: DFT, PBE
State: relaxed

Cell: 6.3771 6.3771 6.3771 Å, 131.96 131.96 70.30°
Closest atoms and distances in Å follow each position.
Positions (direct):
Pr: 0.0000 0.0000 0.0000  4 Th 3.67, 8 Pr 3.68
Pr: 0.2500 0.7500 0.5000  8 Pr 3.67-3.68, 4 Th 3.68
Pr: 0.7500 0.2500 0.5000  8 Pr 3.67-3.68, 4 Th 3.68
Th: 0.5000 0.5000 0.0000  12 Pr 3.67-3.68

Computed properties:
**Magnetization**: 0.00 μB/cell
**Calculated formation energy**: 0.32 eV per formula unit
**N(E_F)**: 7.21 states/eV/f.u.
**Symmetry**: I4/mmm
**ΔE to the lowest computed polymorph**: 55 meV per atom
**V**: 35.1 Å³ per atom

***

Record 9
Material: Pr3Th8
Method: DFT, PBE
State: relaxed

Cell: 32.4989 32.4989 32.4989 Å, 6.34 6.34 6.34°
Closest atoms and distances in Å follow each position.
Positions (direct):
Pr: 0.0000 0.0000 0.0000  6 Pr 3.59, 6 Th 3.63
Pr: 0.2721 0.2721 0.2721  6 Pr 3.59, 6 Th 3.63-3.68
Pr: 0.7279 0.7279 0.7279  6 Pr 3.59, 6 Th 3.63-3.68
Th: 0.0924 0.0924 0.0924  9 Th 3.54-3.59, 3 Pr 3.68
Th: 0.1815 0.1815 0.1815  12 Th 3.56-3.59
Th: 0.3639 0.3639 0.3639  6 Th 3.59, 6 Pr 3.63
Th: 0.4553 0.4553 0.4553  12 Th 3.54-3.59
Th: 0.5447 0.5447 0.5447  12 Th 3.54-3.59
Th: 0.6361 0.6361 0.6361  6 Th 3.59, 6 Pr 3.63
Th: 0.8185 0.8185 0.8185  12 Th 3.56-3.59
Th: 0.9076 0.9076 0.9076  9 Th 3.54-3.59, 3 Pr 3.68

Computed properties:
**Magnetization**: 0.00 μB/cell
**Calculated formation energy**: 0.42 eV per formula unit
**N(E_F)**: 17.93 states/eV/f.u.
**Symmetry**: R-3m
**V**: 33.0 Å³ per atom

***

Record 10
Material: Pr3Th
Method: DFT, PBE
State: relaxed

Cell: 3.6473 6.0538 6.4102 Å, 90.00 90.00 90.00°
Closest atoms and distances in Å follow each position.
Positions (direct):
Pr: 0.0000 0.0000 0.0000  4 Th 3.63-3.74, 8 Pr 3.65-3.74
Pr: 0.0000 0.5000 0.3243  8 Pr 3.60-3.78, 4 Th 3.69
Pr: 0.5000 0.5000 0.8084  10 Pr 3.60-3.78, 2 Th 3.65
Th: 0.5000 0.0000 0.4901  10 Pr 3.63-3.74, 2 Th 3.65

Computed properties:
**Magnetization**: 0.00 μB/cell
**Calculated formation energy**: 0.34 eV per formula unit
**N(E_F)**: 7.73 states/eV/f.u.
**Symmetry**: Pmm2
**ΔE to the lowest computed polymorph**: 61 meV per atom
**V**: 35.4 Å³ per atom

***

Record 11
Material: PrTh5
Method: DFT, PBE
State: relaxed

Cell: 3.5694 3.5694 17.9959 Å, 90.00 90.00 120.00°
Closest atoms and distances in Å follow each position.
Positions (direct):
Pr: 0.0000 0.0000 0.0000  6 Pr 3.57, 6 Th 3.70
Th: 0.0000 0.0000 0.3339  12 Th 3.57-3.63
Th: 0.0000 0.0000 0.6661  12 Th 3.57-3.63
Th: 0.6667 0.3333 0.1707  9 Th 3.57-3.59, 3 Pr 3.70
Th: 0.6667 0.3333 0.5000  12 Th 3.57-3.63
Th: 0.6667 0.3333 0.8293  9 Th 3.57-3.59, 3 Pr 3.70

Computed properties:
**Magnetization**: 0.00 μB/cell
**Calculated formation energy**: 0.34 eV per formula unit
**N(E_F)**: 7.84 states/eV/f.u.
**Symmetry**: P-6m2
**ΔE to the lowest computed polymorph**: 21 meV per atom
**V**: 33.1 Å³ per atom

***

Record 12
Material: PrTh3
Method: DFT, PBE
State: relaxed

Cell: 7.1978 7.1978 5.9558 Å, 90.00 90.00 120.00°
Closest atoms and distances in Å follow each position.
Positions (direct):
Pr: 0.3333 0.6667 0.2500  12 Th 3.60-3.63
Pr: 0.6667 0.3333 0.7500  12 Th 3.60-3.63
Th: 0.1663 0.3325 0.7500  8 Th 3.59-3.63, 4 Pr 3.60-3.63
Th: 0.1663 0.8337 0.7500  8 Th 3.59-3.63, 4 Pr 3.60-3.63
Th: 0.3325 0.1663 0.2500  8 Th 3.59-3.63, 4 Pr 3.60-3.63
Th: 0.6675 0.8337 0.7500  8 Th 3.59-3.63, 4 Pr 3.60-3.63
Th: 0.8337 0.1663 0.2500  8 Th 3.59-3.63, 4 Pr 3.60-3.63
Th: 0.8337 0.6675 0.2500  8 Th 3.59-3.63, 4 Pr 3.60-3.63

Computed properties:
**Magnetization**: 0.00 μB/cell
**Calculated formation energy**: 0.36 eV per formula unit
**N(E_F)**: 4.01 states/eV/f.u.
**Symmetry**: P6_3/mmc
**ΔE to the lowest computed polymorph**: 17 meV per atom
**V**: 33.4 Å³ per atom

***

In g/cm3, the theoretical density values for the records above are, in order, 7.37; 6.54; 6.73; 7.59; 10.99; 10.44; 7.06; 7.74; 10.43; 7.68; 10.88; 10.40.